1.
# Ho2CrRu3

Ho2CrRu3 after structural relaxation (PBE-GGA, the Alexandria database).

Cell: 5.4589 5.4589 8.0686 Å, 90.00 90.00 120.00°
Element x y z (fractional)
Cr: 0.0000 0.0000 0.0000
Ru: 0.8316 0.6631 0.7500
Ho: 0.6667 0.3333 0.4388
Ru: 0.1684 0.3369 0.2500
Ho: 0.6667 0.3333 0.0612
Ru: 0.8316 0.1684 0.7500
Ru: 0.3369 0.1684 0.7500
Ho: 0.3333 0.6667 0.5612
Cr: 0.0000 0.0000 0.5000
Ho: 0.3333 0.6667 0.9388
Ru: 0.1684 0.8316 0.2500
Ru: 0.6631 0.8316 0.2500

Results
The formation energy comes out at -0.254 eV per atom. As for the symmetry: P6_3/mmc (194). The calculated total energy is -8.022 eV/atom.

2.
# EuScIr2

EuScIr2 after structural relaxation (PBE-GGA, the Alexandria database).

Cell: 3.2229 3.2229 7.3132 Å, 90.00 90.00 90.00°
Element x y z (fractional)
Ir: 0.0000 0.0000 0.7844
Ir: 0.0000 0.0000 0.2156
Sc: 0.5000 0.5000 0.0000
Eu: 0.5000 0.5000 0.5000

Results
The formation energy comes out at -0.603 eV per atom. As for the symmetry: P4/mmm (123). The calculated total energy is -9.185 eV/atom.

3.
# Pu2VOs3

Pu2VOs3 after structural relaxation (PBE-GGA, the Alexandria database).

Cell: 5.5988 5.5988 5.0724 Å, 89.90 123.59 120.02°
Element x y z (fractional)
Os: 0.5000 0.5000 0.5000
Os: 0.0000 0.0000 0.5000
Pu: 0.7551 0.3776 0.1327
Os: 0.5000 0.0000 0.5000
V: 0.0000 0.0000 0.0000
Pu: 0.2449 0.6224 0.8673

Results
The formation energy comes out at -0.142 eV per atom. As for the symmetry: R-3m (166). The calculated total energy is -12.054 eV/atom.